Entry A
## CoP4O12 (meta-GGA SCAN)

Data for CoP4O12 at its PBEsol-relaxed geometry.

Cell: 4.9762 7.3054 13.1008 Å, 90.00 90.00 102.23°
Last column: nearest neighbours and their distance in Å.
Element x y z (fractional)
Co 0.5067 0.5049 0.7689  6 O 1.82-1.88
Co 0.4933 0.4951 0.2689  6 O 1.82-1.88
P 0.8844 0.8957 0.8223  4 O 1.46-1.63
P 0.2172 0.1381 0.6724  4 O 1.47-1.64
P 0.9762 0.4485 0.6342  4 O 1.51-1.58
P 0.9655 0.4418 0.4024  4 O 1.51-1.58
P 0.1156 0.1043 0.3223  4 O 1.46-1.63
P 0.7828 0.8619 0.1724  4 O 1.47-1.64
P 0.0345 0.5582 0.9024  4 O 1.51-1.58
P 0.0238 0.5515 0.1342  4 O 1.51-1.58
O 0.7006 0.5042 0.6464  1 P 1.52
O 0.6884 0.4953 0.3920  1 P 1.52
O 0.3675 0.1200 0.5777  1 P 1.47
O 0.8033 0.4474 0.8387  1 P 1.51
O 0.3116 0.5047 0.8920  1 P 1.52
O 0.9506 0.2316 0.6522  2 P 1.58-1.64
O 0.0637 0.7765 0.8885  2 P 1.58-1.62
O 0.8452 0.0636 0.8761  1 P 1.46
O 0.3718 0.2405 0.2821  1 P 1.54
O 0.7876 0.4363 0.1944  1 P 1.51
O 0.6202 0.7474 0.2605  1 P 1.55
O 0.2124 0.5637 0.6944  1 P 1.51
O 0.0494 0.7684 0.1522  2 P 1.58-1.64
O 0.0546 0.4821 0.5176  2 P 1.58
O 0.9220 0.0569 0.2217  2 P 1.58-1.63
O 0.1967 0.5526 0.3387  1 P 1.51
O 0.9454 0.5179 0.0176  2 P 1.58
O 0.6325 0.8800 0.0777  1 P 1.47
O 0.0780 0.9431 0.7217  2 P 1.58-1.63
O 0.6282 0.7595 0.7821  1 P 1.54
O 0.3798 0.2526 0.7605  1 P 1.55
O 0.1548 0.9364 0.3761  1 P 1.46
O 0.2994 0.4958 0.1464  1 P 1.52
O 0.9363 0.2235 0.3885  2 P 1.58-1.62

---

Entry B
## CoP4O12 (meta-GGA SCAN)

Data for CoP4O12 at its PBEsol-relaxed geometry.

Cell: 8.5131 8.6128 12.3308 Å, 90.00 90.00 90.00°
Last column: nearest neighbours and their distance in Å.
Element x y z (fractional)
Co 0.8678 0.7500 0.5000  6 O 1.84-1.87
Co 0.3678 0.7500 0.0000  6 O 1.84-1.87
Co 0.1322 0.2500 0.5000  6 O 1.84-1.87
Co 0.6322 0.2500 0.0000  6 O 1.84-1.87
P 0.9594 0.4846 0.6503  4 O 1.52-1.58
P 0.1971 0.9960 0.8551  4 O 1.46-1.64
P 0.1971 0.5040 0.1449  4 O 1.46-1.64
P 0.6971 0.5040 0.3551  4 O 1.46-1.64
P 0.4594 0.0154 0.1503  4 O 1.52-1.58
P 0.0406 0.5154 0.3497  4 O 1.52-1.58
P 0.8029 0.4960 0.8551  4 O 1.46-1.64
P 0.6971 0.9960 0.6449  4 O 1.46-1.64
P 0.9594 0.0154 0.3497  4 O 1.52-1.58
P 0.5406 0.9846 0.8497  4 O 1.52-1.58
P 0.3029 0.4960 0.6449  4 O 1.46-1.64
P 0.8029 0.0040 0.1449  4 O 1.46-1.64
P 0.3029 0.0040 0.3551  4 O 1.46-1.64
P 0.0406 0.9846 0.6503  4 O 1.52-1.58
P 0.4594 0.4846 0.8497  4 O 1.52-1.58
P 0.5406 0.5154 0.1503  4 O 1.52-1.58
O 0.2108 0.8732 0.9440  1 P 1.53
O 0.1099 0.3613 0.1213  1 P 1.46
O 0.8632 0.8710 0.3750  1 P 1.52
O 0.4683 0.1325 0.0583  1 P 1.52
O 0.2108 0.6268 0.0560  1 P 1.53
O 0.0317 0.6325 0.4417  1 P 1.52
O 0.1099 0.1387 0.8787  1 P 1.46
O 0.9683 0.1325 0.4417  1 P 1.52
O 0.0317 0.8675 0.5583  1 P 1.52
O 0.8759 0.0951 0.2498  2 P 1.58-1.64
O 0.7892 0.1268 0.0560  1 P 1.53
O 0.1281 0.9698 0.3082  2 P 1.57-1.62
O 0.3719 0.4698 0.1918  2 P 1.57-1.62
O 0.7108 0.6268 0.4440  1 P 1.53
O 0.1281 0.5302 0.6918  2 P 1.57-1.62
O 0.8632 0.6290 0.6250  1 P 1.52
O 0.3759 0.4049 0.7498  2 P 1.58-1.64
O 0.1241 0.5951 0.2498  2 P 1.58-1.64
O 0.3901 0.8613 0.3787  1 P 1.46
O 0.6368 0.3710 0.1250  1 P 1.52
O 0.6099 0.1387 0.6213  1 P 1.46
O 0.3901 0.6387 0.6213  1 P 1.46
O 0.3719 0.0302 0.8082  2 P 1.57-1.62
O 0.8901 0.8613 0.1213  1 P 1.46
O 0.8719 0.0302 0.6918  2 P 1.57-1.62
O 0.2892 0.1268 0.4440  1 P 1.53
O 0.8719 0.4698 0.3082  2 P 1.57-1.62
O 0.6281 0.9698 0.1918  2 P 1.57-1.62
O 0.1368 0.1290 0.6250  1 P 1.52
O 0.7108 0.8732 0.5560  1 P 1.53
O 0.4683 0.3675 0.9417  1 P 1.52
O 0.7892 0.3732 0.9440  1 P 1.53
O 0.5317 0.8675 0.9417  1 P 1.52
O 0.6368 0.1290 0.8750  1 P 1.52
O 0.8901 0.6387 0.8787  1 P 1.46
O 0.6241 0.9049 0.7498  2 P 1.58-1.64
O 0.1368 0.3710 0.3750  1 P 1.52
O 0.5317 0.6325 0.0583  1 P 1.52
O 0.9683 0.3675 0.5583  1 P 1.52
O 0.1241 0.9049 0.7502  2 P 1.58-1.64
O 0.3759 0.0951 0.2502  2 P 1.58-1.64
O 0.3632 0.8710 0.1250  1 P 1.52
O 0.6241 0.5951 0.2502  2 P 1.58-1.64
O 0.6281 0.5302 0.8082  2 P 1.57-1.62
O 0.6099 0.3613 0.3787  1 P 1.46
O 0.8759 0.4049 0.7502  2 P 1.58-1.64
O 0.3632 0.6290 0.8750  1 P 1.52
O 0.2892 0.3732 0.5560  1 P 1.53

Values from the calculation:
N(E_F): 5.195 states/eV/f.u.

---

Entry C
## CoP4O12 (meta-GGA SCAN)

Data for CoP4O12 at its PBEsol-relaxed geometry.

Cell: 5.0086 10.3942 10.3942 Å, 73.31 79.96 79.96°
Last column: nearest neighbours and their distance in Å.
Element x y z (fractional)
Co 0.0000 0.0000 0.5000  6 O 1.82-1.89
Co 0.0000 0.5000 0.0000  6 O 1.82-1.89
P 0.8358 0.8104 0.3554  4 O 1.46-1.64
P 0.4761 0.9224 0.6776  4 O 1.51-1.59
P 0.5239 0.0776 0.3224  4 O 1.51-1.59
P 0.8358 0.3554 0.8104  4 O 1.46-1.64
P 0.4761 0.6776 0.9224  4 O 1.51-1.59
P 0.1642 0.6446 0.1896  4 O 1.46-1.64
P 0.5239 0.3224 0.0776  4 O 1.51-1.59
P 0.1642 0.1896 0.6446  4 O 1.46-1.64
O 0.7029 0.4469 0.6975  1 P 1.46
O 0.6823 0.4267 0.0940  1 P 1.51
O 0.2971 0.5531 0.3025  1 P 1.46
O 0.6206 0.9384 0.2853  2 P 1.58-1.64
O 0.9580 0.1277 0.5930  1 P 1.55
O 0.3177 0.9060 0.5733  1 P 1.51
O 0.3794 0.7147 0.0616  2 P 1.58-1.64
O 0.2149 0.3532 0.1048  1 P 1.52
O 0.7851 0.6468 0.8952  1 P 1.52
O 0.3964 0.8198 0.8198  2 P 1.59
O 0.6823 0.0940 0.4267  1 P 1.51
O 0.2971 0.3025 0.5531  1 P 1.46
O 0.0000 0.2157 0.7843  2 P 1.61
O 0.3794 0.0616 0.7147  2 P 1.58-1.64
O 0.0420 0.4070 0.8723  1 P 1.55
O 0.7029 0.6975 0.4469  1 P 1.46
O 0.0000 0.7843 0.2157  2 P 1.61
O 0.9580 0.5930 0.1277  1 P 1.55
O 0.7851 0.8952 0.6468  1 P 1.52
O 0.2149 0.1048 0.3532  1 P 1.52
O 0.3177 0.5733 0.9060  1 P 1.51
O 0.6036 0.1802 0.1802  2 P 1.59
O 0.6206 0.2853 0.9384  2 P 1.58-1.64
O 0.0420 0.8723 0.4070  1 P 1.55

Values from the calculation:
N(E_F): 0.956 states/eV/f.u.

---

So which one is most stable? That would be entry A, about 0.007 eV/atom below the next structure.